A relaxed Ca2SmEu crystal. Source: the Alexandria database, functional PBE.

Output
ΔH_f (0 K)   0.109 eV/atom
Calculated density   4.06 Mg/m³
Excess energy over the best structure of this formula in the dataset   2.8 kJ per mole of atoms

Cell: 8.5523 8.5523 8.5523 Å, 90.00 90.00 90.00°
Space group Fm-3m (No. 225)
Symmetry-distinct sites (fractional):
Ca 0.2500 0.2500 0.2500 x8
Sm 0.0000 0.0000 0.0000 x4
Eu 0.0000 0.0000 0.5000 x4